# 1
A relaxed structure of CsRbZnFeGe, computed with PBE.

Calculated values
- ΔH_f (0 K) (eV per atom) = 0.29
- SG = P1 (1)

Unit cell a=4.034 b=6.627 c=6.894 alpha=69.56 beta=89.21 gamma=89.28
Fractional positions:
Cs (0.000, 0.000, 0.000)
Rb (0.981, 0.359, 0.374)
Zn (0.489, 0.526, 0.864)
Fe (0.990, 0.703, 0.664)
Ge (0.491, 0.856, 0.490)

# 2
A relaxed structure of AcTm3In4, computed with PBE.

Calculated values
- ΔH_f (0 K) (eV per atom) = -0.39
- SG = Pmma (51)

Unit cell a=10.851 b=7.389 c=5.588 alpha=90.00 beta=90.00 gamma=90.00
Fractional positions:
Ac (0.000, 0.000, 0.000)
Ac (0.500, 0.000, 0.000)
Tm (0.000, 0.500, 0.000)
Tm (0.250, 0.000, 0.444)
Tm (0.250, 0.500, 0.407)
Tm (0.500, 0.500, 0.000)
Tm (0.750, 0.000, 0.556)
Tm (0.750, 0.500, 0.593)
In (0.000, 0.273, 0.500)
In (0.000, 0.727, 0.500)
In (0.250, 0.273, 0.907)
In (0.250, 0.727, 0.907)
In (0.500, 0.273, 0.500)
In (0.500, 0.727, 0.500)
In (0.750, 0.273, 0.093)
In (0.750, 0.727, 0.093)